Material: Ca3Hg3Pt2
Method: DFT, PBE-GGA
State: relaxed

Results
formation enthalpy at 0 K: -0.63 eV per atom

a b c (Å): 5.7864 7.7604 17.4955
angles (deg): 90.00 90.00 90.00
Last column: nearest neighbours and their distance in Å.
Sites, in units of the cell vectors:
Ca  0.1106  0.4642  0.3896  3 Pt 3.01-3.12, 5 Hg 3.22-3.35
Ca  0.6106  0.0358  0.6104  3 Pt 3.01-3.12, 5 Hg 3.22-3.35
Ca  0.8894  0.5358  0.8896  3 Pt 3.01-3.12, 5 Hg 3.22-3.35
Ca  0.3894  0.9642  0.1104  3 Pt 3.01-3.12, 5 Hg 3.22-3.35
Ca  0.8894  0.5358  0.6104  3 Pt 3.01-3.12, 5 Hg 3.22-3.35
Ca  0.3894  0.9642  0.3896  3 Pt 3.01-3.12, 5 Hg 3.22-3.35
Ca  0.1106  0.4642  0.1104  3 Pt 3.01-3.12, 5 Hg 3.22-3.35
Ca  0.6106  0.0358  0.8896  3 Pt 3.01-3.12, 5 Hg 3.22-3.35
Ca  0.6557  0.3370  0.2500  3 Hg 3.10-3.23, 4 Pt 3.11-3.14
Ca  0.1557  0.1630  0.7500  3 Hg 3.10-3.23, 4 Pt 3.11-3.14
Ca  0.3443  0.6630  0.7500  3 Hg 3.10-3.23, 4 Pt 3.11-3.14
Ca  0.8443  0.8370  0.2500  3 Hg 3.10-3.23, 4 Pt 3.11-3.14
Hg  0.1650  0.1775  0.2500  2 Pt 2.79, 1 Ca 3.10
Hg  0.6650  0.3225  0.7500  2 Pt 2.79, 1 Ca 3.10
Hg  0.8350  0.8225  0.7500  2 Pt 2.79, 1 Ca 3.10
Hg  0.3350  0.6775  0.2500  2 Pt 2.79, 1 Ca 3.10
Hg  0.5963  0.3145  0.4698  3 Pt 2.81-2.97
Hg  0.0963  0.1855  0.5302  3 Pt 2.81-2.97
Hg  0.4037  0.6855  0.9698  3 Pt 2.81-2.97
Hg  0.9037  0.8145  0.0302  3 Pt 2.81-2.97
Hg  0.4037  0.6855  0.5302  3 Pt 2.81-2.97
Hg  0.9037  0.8145  0.4698  3 Pt 2.81-2.97
Hg  0.5963  0.3145  0.0302  3 Pt 2.81-2.97
Hg  0.0963  0.1855  0.9698  3 Pt 2.81-2.97
Pt  0.8893  0.1138  0.3780  4 Hg 2.79-2.97, 4 Ca 3.01-3.12
Pt  0.3893  0.3862  0.6220  4 Hg 2.79-2.97, 4 Ca 3.01-3.12
Pt  0.1107  0.8862  0.8780  4 Hg 2.79-2.97, 4 Ca 3.01-3.12
Pt  0.6107  0.6138  0.1220  4 Hg 2.79-2.97, 4 Ca 3.01-3.12
Pt  0.1107  0.8862  0.6220  4 Hg 2.79-2.97, 4 Ca 3.01-3.12
Pt  0.6107  0.6138  0.3780  4 Hg 2.79-2.97, 4 Ca 3.01-3.12
Pt  0.8893  0.1138  0.1220  4 Hg 2.79-2.97, 4 Ca 3.01-3.12
Pt  0.3893  0.3862  0.8780  4 Hg 2.79-2.97, 4 Ca 3.01-3.12